[1]
ZrZn2Pd9 PBE optimized geometry; DFT formation energy = -0.483 eV/atom
1.0
3.970 0.000 0.000
0.000 3.970 0.000
0.000 0.000 11.814
Zr Zn Pd
1 2 9
direct
0.000 0.000 0.000
0.000 0.000 0.342
0.000 0.000 0.658
0.000 0.500 0.172
0.000 0.500 0.500
0.000 0.500 0.828
0.500 0.000 0.172
0.500 0.000 0.500
0.500 0.000 0.828
0.500 0.500 0.000
0.500 0.500 0.334
0.500 0.500 0.666

---

[2]
Pm2ZnPd3 PBE optimized geometry; DFT formation energy = -0.685 eV/atom
1.0
4.500 0.000 0.000
-2.250 3.898 0.000
0.000 0.000 14.686
Pm Zn Pd
4 2 6
direct
0.000 0.000 0.123
0.000 0.000 0.377
0.000 0.000 0.623
0.000 0.000 0.877
0.333 0.667 0.250
0.667 0.333 0.750
0.333 0.667 0.019
0.333 0.667 0.481
0.333 0.667 0.750
0.667 0.333 0.250
0.667 0.333 0.519
0.667 0.333 0.981